No. 1
A relaxed CrAu3 crystal, computed with PBEsol.

Results
SG: Pmmm (47)
Formation enthalpy at 0 K: 0.113 eV/atom

```
4
Lattice="3.134 0.000 0.000 0.000 3.638 0.000 0.000 0.000 5.758" Properties=species:S:1:pos:R:3 pbc="T T T"
Au 0.000 0.000 4.367
Au 1.567 1.819 2.879
Au 0.000 0.000 1.391
Cr 1.567 1.819 0.000
```

=====

No. 2
A relaxed Mg14MnCuO16 crystal, computed with PBEsol.

Results
Excess energy over the best structure of this formula in the dataset: 0.011 eV/atom
SG: P4/mmm (123)

```
32
Lattice="4.194 0.000 0.000 0.000 8.485 0.000 0.000 0.000 8.485" Properties=species:S:1:pos:R:3 pbc="T T T"
O 0.000 0.000 6.377
O 2.097 4.242 4.242
O 2.097 0.000 4.242
O 0.000 4.242 6.443
O 0.000 2.108 0.000
O 0.000 0.000 2.108
O 0.000 6.377 0.000
O 0.000 6.443 4.242
O 0.000 4.242 2.041
O 2.097 2.116 6.368
O 2.097 2.116 2.116
O 2.097 4.242 0.000
O 2.097 6.368 6.368
O 0.000 2.041 4.242
O 2.097 0.000 0.000
O 2.097 6.368 2.116
Mg 0.000 4.242 0.000
Mg 2.097 6.340 4.242
Mg 0.000 6.332 2.152
Mg 0.000 0.000 4.242
Mg 2.097 0.000 2.153
Mg 2.097 2.153 0.000
Mg 2.097 4.242 2.144
Mg 2.097 2.144 4.242
Mg 2.097 4.242 6.340
Mg 2.097 0.000 6.331
Mg 2.097 6.331 0.000
Mg 0.000 2.152 2.152
Mg 0.000 2.152 6.332
Mg 0.000 6.332 6.332
Mn 0.000 0.000 0.000
Cu 0.000 4.242 4.242
```

=====

No. 3
A relaxed Ba2Fe2Se2OF2 crystal, computed with PBEsol.

Results
Calculated total energy: -6.287 eV per atom
SG: I4/mmm (139)

```
9
Lattice="4.118 0.000 0.000 0.000 4.118 0.000 -2.059 -2.059 9.824" Properties=species:S:1:pos:R:3 pbc="T T T"
Ba 2.059 2.059 3.308
Ba 0.000 0.000 6.516
Se 2.059 2.059 8.110
Se 0.000 0.000 1.714
F 0.000 2.059 4.912
F 2.059 0.000 4.912
O 2.059 2.059 0.000
Fe 2.059 0.000 0.000
Fe 0.000 2.059 0.000
```

=====

no.,ρ (Mg/m³),magnetic moment (μB per atom)
1,16.26,0.9663
2,3.93,0.1246
3,5.96,0.8835